This record from the Alexandria database describes CuHg2AsSe4 after structural relaxation. The functional is PBE. Values from VASP.

Structure (Quantum ESPRESSO input):
```
&SYSTEM
  ibrav = 0, nat = 16, ntyp = 4
/
ATOMIC_SPECIES
Hg 200.59 Hg.upf
Cu 63.55 Cu.upf
Se 78.96 Se.upf
As 74.92 As.upf
CELL_PARAMETERS angstrom
-4.027 -5.249 0.515
5.064 -3.599 2.912
-2.796 2.984 8.549
ATOMIC_POSITIONS crystal
Hg 0.005 0.662 0.754
Cu 0.496 0.860 0.000
Se 0.862 0.847 0.000
Se 0.404 0.717 0.777
Cu 0.996 0.140 0.500
Hg 0.505 0.338 0.746
Se 0.904 0.283 0.723
Se 0.362 0.153 0.500
As 0.974 0.193 0.000
Se 0.904 0.283 0.277
Se 0.350 0.181 0.000
As 0.474 0.807 0.500
Hg 0.005 0.662 0.246
Se 0.850 0.819 0.500
Se 0.404 0.717 0.223
Hg 0.505 0.338 0.254
```

Output
Crystal system ... orthorhombic
Fermi-level density of states ... 1.2 states/eV/f.u.
Space-group type ... Pmn2_1, No. 31
Formation energy without anion corrections ... -0.113 eV per atom
Total DFT energy (no corrections) ... -3.024 eV per atom


This record from the Alexandria database describes CuHgAs2Se4 after structural relaxation. The functional is PBE. Values from VASP.

Structure (Quantum ESPRESSO input):
```
&SYSTEM
  ibrav = 0, nat = 8, ntyp = 4
/
ATOMIC_SPECIES
Se 78.96 Se.upf
Hg 200.59 Hg.upf
As 74.92 As.upf
Cu 63.55 Cu.upf
CELL_PARAMETERS angstrom
6.538 0.264 0.000
-0.279 6.537 0.000
-3.129 -3.401 4.869
ATOMIC_POSITIONS crystal
Se 0.397 0.859 0.257
Se 0.141 0.141 0.743
Hg 0.999 0.999 0.997
As 0.750 0.250 0.501
Se 0.859 0.397 0.257
As 0.250 0.750 0.501
Cu 0.501 0.501 0.002
Se 0.602 0.602 0.743
```

Output
Crystal system ... orthorhombic
Fermi-level density of states ... 1.9 states/eV/f.u.
Space-group type ... Fmm2, No. 42
Formation energy without anion corrections ... -0.003 eV per atom
Total DFT energy (no corrections) ... -3.457 eV per atom


This record from the Alexandria database describes Cu2HgAsSe4 after structural relaxation. The functional is PBE. Values from VASP.

Structure (Quantum ESPRESSO input):
```
&SYSTEM
  ibrav = 0, nat = 8, ntyp = 4
/
ATOMIC_SPECIES
As 74.92 As.upf
Hg 200.59 Hg.upf
Se 78.96 Se.upf
Cu 63.55 Cu.upf
CELL_PARAMETERS angstrom
5.883 0.243 0.000
-0.246 5.882 0.000
-2.819 -3.063 5.740
ATOMIC_POSITIONS crystal
As 0.500 0.500 0.000
Hg 0.000 0.000 0.001
Se 0.596 0.596 0.717
Se 0.121 0.121 0.717
Cu 0.250 0.750 0.500
Se 0.879 0.404 0.283
Se 0.404 0.879 0.283
Cu 0.750 0.250 0.500
```

Output
Crystal system ... tetragonal
Fermi-level density of states ... 3.4 states/eV/f.u.
Space-group type ... I-42m, No. 121
Formation energy without anion corrections ... -0.126 eV per atom
Total DFT energy (no corrections) ... -3.511 eV per atom


This record from the Alexandria database describes Sr2Cu3HgAs4 after structural relaxation. The functional is PBE. Values from VASP.

Structure (Quantum ESPRESSO input):
```
&SYSTEM
  ibrav = 0, nat = 10, ntyp = 4
/
ATOMIC_SPECIES
Hg 200.59 Hg.upf
Cu 63.55 Cu.upf
As 74.92 As.upf
Sr 87.62 Sr.upf
CELL_PARAMETERS angstrom
4.435 0.000 0.000
0.000 4.435 0.000
0.000 0.000 10.520
ATOMIC_POSITIONS crystal
Hg 0.500 0.500 0.500
Cu 0.000 0.500 0.115
As 0.000 0.000 0.000
As 0.500 0.000 0.652
As 0.000 0.500 0.348
As 0.500 0.500 0.000
Cu 0.500 0.000 0.885
Sr 0.500 0.000 0.239
Cu 0.000 0.000 0.500
Sr 0.000 0.500 0.761
```

Output
Energy of formation ... -468 meV/atom
Crystal system ... tetragonal
Fermi-level density of states ... 2.9 states/eV/f.u.
Space-group type ... P-4m2, No. 115
Total DFT energy (no corrections) ... -3.923 eV per atom


What did the third record say?
This record from the Alexandria database describes Cu2HgAsSe4 after structural relaxation. The functional is PBE. Values from VASP.

Structure (Quantum ESPRESSO input):
```
&SYSTEM
  ibrav = 0, nat = 8, ntyp = 4
/
ATOMIC_SPECIES
As 74.92 As.upf
Hg 200.59 Hg.upf
Se 78.96 Se.upf
Cu 63.55 Cu.upf
CELL_PARAMETERS angstrom
5.883 0.243 0.000
-0.246 5.882 0.000
-2.819 -3.063 5.740
ATOMIC_POSITIONS crystal
As 0.500 0.500 0.000
Hg 0.000 0.000 0.001
Se 0.596 0.596 0.717
Se 0.121 0.121 0.717
Cu 0.250 0.750 0.500
Se 0.879 0.404 0.283
Se 0.404 0.879 0.283
Cu 0.750 0.250 0.500
```

Output
Crystal system ... tetragonal
Fermi-level density of states ... 3.4 states/eV/f.u.
Space-group type ... I-42m, No. 121
Formation energy without anion corrections ... -0.126 eV per atom
Total DFT energy (no corrections) ... -3.511 eV per atom


Question: Among the records above, which one has the lowest Fermi-level density of states?
Answer: CuHg2AsSe4


Question: Which formula does entry 4 have?
Answer: Sr2Cu3HgAs4


Repeat the first record exactly.
This record from the Alexandria database describes CuHg2AsSe4 after structural relaxation. The functional is PBE. Values from VASP.

Structure (Quantum ESPRESSO input):
```
&SYSTEM
  ibrav = 0, nat = 16, ntyp = 4
/
ATOMIC_SPECIES
Hg 200.59 Hg.upf
Cu 63.55 Cu.upf
Se 78.96 Se.upf
As 74.92 As.upf
CELL_PARAMETERS angstrom
-4.027 -5.249 0.515
5.064 -3.599 2.912
-2.796 2.984 8.549
ATOMIC_POSITIONS crystal
Hg 0.005 0.662 0.754
Cu 0.496 0.860 0.000
Se 0.862 0.847 0.000
Se 0.404 0.717 0.777
Cu 0.996 0.140 0.500
Hg 0.505 0.338 0.746
Se 0.904 0.283 0.723
Se 0.362 0.153 0.500
As 0.974 0.193 0.000
Se 0.904 0.283 0.277
Se 0.350 0.181 0.000
As 0.474 0.807 0.500
Hg 0.005 0.662 0.246
Se 0.850 0.819 0.500
Se 0.404 0.717 0.223
Hg 0.505 0.338 0.254
```

Output
Crystal system ... orthorhombic
Fermi-level density of states ... 1.2 states/eV/f.u.
Space-group type ... Pmn2_1, No. 31
Formation energy without anion corrections ... -0.113 eV per atom
Total DFT energy (no corrections) ... -3.024 eV per atom